1.
GGA-PBE PrHgS3, optimized geometry; total DFT energy (no corrections) = -4.358 eV/atom; formation energy from raw total energies = -0.866 eV/atom
1.0
2.2287 -8.7615 0.0000
2.2287 8.7615 0.0000
0.0000 0.0000 6.7092
Pr Hg S
2 2 6
Direct
0.1968 0.8032 0.7500
0.8032 0.1968 0.2500
0.4506 0.5494 0.7500
0.5494 0.4506 0.2500
0.0189 0.9811 0.7500
0.3331 0.6669 0.5055
0.3331 0.6669 0.9945
0.6669 0.3331 0.0055
0.6669 0.3331 0.4945
0.9811 0.0189 0.2500


2.
GGA-PBE Nd6H2C3Cl, optimized geometry; total DFT energy (no corrections) = -5.923 eV/atom
1.0
8.4361 -1.8885 0.0000
8.4361 1.8885 0.0000
-2.1706 0.0000 7.5265
Nd H C Cl
6 2 3 1
Direct
0.0060 0.0060 0.2224
0.3227 0.3227 0.4313
0.3395 0.3395 0.8971
0.6605 0.6605 0.1029
0.6773 0.6773 0.5687
0.9940 0.9940 0.7776
0.1667 0.1667 0.8275
0.8333 0.8333 0.1725
0.1650 0.1650 0.3307
0.5000 0.5000 0.0000
0.8350 0.8350 0.6693
0.5000 0.5000 0.5000